1.
First-principles (PBE) data for crystalline SrZnRe at its relaxed geometry, as listed in Alexandria via LeMat-Bulk.

- crystal system = cubic
- total DFT energy (no corrections) (eV per atom) = -3.33
- formation energy from the elements (kJ/mol of formula units) = 521
- symmetry = No. 216

abc: 4.981 4.981 4.981
angles: 60.00 60.00 60.00
Sites, in units of the cell vectors:
Re 0.500 0.500 0.500
Sr 0.250 0.250 0.250
Zn 0.000 0.000 0.000


2.
First-principles (PBE) data for crystalline SrZn2Re at its relaxed geometry, as listed in Alexandria via LeMat-Bulk.

- crystal system = monoclinic
- total DFT energy (no corrections) (eV per atom) = -3.71
- formation energy from the elements (kJ/mol of formula units) = 177
- symmetry = No. 6

abc: 4.253 2.911 6.758
angles: 80.57 90.00 90.00
Sites, in units of the cell vectors:
Re 0.000 0.513 0.393
Sr 0.500 0.780 0.743
Zn 0.000 0.149 0.061
Zn 0.500 0.059 0.303


3.
First-principles (PBE) data for crystalline SrZn2Re at its relaxed geometry, as listed in Alexandria via LeMat-Bulk.

- crystal system = monoclinic
- total DFT energy (no corrections) (eV per atom) = -3.83
- formation energy from the elements (kJ/mol of formula units) = 129
- symmetry = No. 10

abc: 3.926 2.903 7.319
angles: 66.48 90.00 90.00
Sites, in units of the cell vectors:
Re 0.500 0.250 0.250
Sr 0.500 0.750 0.750
Zn 0.000 0.936 0.064
Zn 0.000 0.564 0.436


4.
First-principles (PBE) data for crystalline SrZn2Re at its relaxed geometry, as listed in Alexandria via LeMat-Bulk.

- crystal system = orthorhombic
- total DFT energy (no corrections) (eV per atom) = -3.59
- formation energy from the elements (kJ/mol of formula units) = 223
- symmetry = No. 44

abc: 5.905 5.905 5.905
angles: 151.79 128.11 60.10
Sites, in units of the cell vectors:
Re 0.531 0.531 0.000
Sr 0.252 0.752 0.500
Zn 0.971 0.971 0.000
Zn 0.746 0.246 0.500


5.
First-principles (PBE) data for crystalline SrZn2Re at its relaxed geometry, as listed in Alexandria via LeMat-Bulk.

- crystal system = tetragonal
- total DFT energy (no corrections) (eV per atom) = -3.41
- formation energy from the elements (kJ/mol of formula units) = 292
- symmetry = No. 119

abc: 5.492 5.492 5.492
angles: 136.20 136.20 63.67
Sites, in units of the cell vectors:
Re 0.500 0.500 0.000
Sr 0.750 0.250 0.500
Zn 0.000 0.000 0.000
Zn 0.250 0.750 0.500


6.
First-principles (PBE) data for crystalline SrZn2Re at its relaxed geometry, as listed in Alexandria via LeMat-Bulk.

- crystal system = cubic
- total DFT energy (no corrections) (eV per atom) = -3.27
- formation energy from the elements (kJ/mol of formula units) = 349
- symmetry = No. 216

abc: 4.826 4.826 4.826
angles: 60.00 60.00 60.00
Sites, in units of the cell vectors:
Re 0.500 0.500 0.500
Sr 0.750 0.750 0.750
Zn 0.000 0.000 0.000
Zn 0.250 0.250 0.250


7.
First-principles (PBE) data for crystalline SrZnRe at its relaxed geometry, as listed in Alexandria via LeMat-Bulk.

- crystal system = cubic
- total DFT energy (no corrections) (eV per atom) = -3.94
- formation energy from the elements (kJ/mol of formula units) = 347
- symmetry = No. 216

abc: 4.723 4.723 4.723
angles: 60.00 60.00 60.00
Sites, in units of the cell vectors:
Re 0.000 0.000 0.000
Sr 0.500 0.500 0.500
Zn 0.250 0.250 0.250


8.
First-principles (PBE) data for crystalline SrZnRe at its relaxed geometry, as listed in Alexandria via LeMat-Bulk.

- crystal system = hexagonal
- total DFT energy (no corrections) (eV per atom) = -4.34
- formation energy from the elements (kJ/mol of formula units) = 230
- symmetry = No. 187

abc: 4.970 4.970 2.851
angles: 90.00 90.00 120.00
Sites, in units of the cell vectors:
Re 0.000 0.000 0.833
Sr 0.667 0.333 0.333
Zn 0.333 0.667 0.834


9.
First-principles (PBE) data for crystalline SrZn3Re at its relaxed geometry, as listed in Alexandria via LeMat-Bulk.

- crystal system = cubic
- total DFT energy (no corrections) (eV per atom) = -3.35
- formation energy from the elements (kJ/mol of formula units) = 116
- symmetry = No. 221

abc: 4.905 4.905 4.905
angles: 90.00 90.00 90.00
Sites, in units of the cell vectors:
Re 0.000 0.000 0.000
Zn 0.000 0.500 0.000
Zn 0.000 0.000 0.500
Zn 0.500 0.000 0.000
Sr 0.500 0.500 0.500


10.
First-principles (PBE) data for crystalline SrZn3Re at its relaxed geometry, as listed in Alexandria via LeMat-Bulk.

- crystal system = cubic
- total DFT energy (no corrections) (eV per atom) = -1.59
- formation energy from the elements (kJ/mol of formula units) = 966
- symmetry = No. 221

abc: 5.709 5.709 5.709
angles: 90.00 90.00 90.00
Sites, in units of the cell vectors:
Re 0.500 0.500 0.500
Zn 0.000 0.500 0.000
Zn 0.000 0.000 0.500
Zn 0.500 0.000 0.000
Sr 0.000 0.000 0.000


11.
First-principles (PBE) data for crystalline SrZn2Re at its relaxed geometry, as listed in Alexandria via LeMat-Bulk.

- crystal system = tetragonal
- total DFT energy (no corrections) (eV per atom) = -3.55
- formation energy from the elements (kJ/mol of formula units) = 240
- symmetry = No. 123

abc: 5.044 5.044 2.859
angles: 90.00 90.00 90.00
Sites, in units of the cell vectors:
Re 0.500 0.000 0.500
Sr 0.000 0.500 0.500
Zn 0.000 0.000 0.000
Zn 0.500 0.500 0.000


12.
First-principles (PBE) data for crystalline SrZnRe at its relaxed geometry, as listed in Alexandria via LeMat-Bulk.

- crystal system = trigonal
- total DFT energy (no corrections) (eV per atom) = -4.20
- formation energy from the elements (kJ/mol of formula units) = 270
- symmetry = No. 156

abc: 2.993 2.993 7.655
angles: 90.00 90.00 120.00
Sites, in units of the cell vectors:
Re 0.000 0.000 0.976
Sr 0.667 0.333 0.325
Zn 0.333 0.667 0.699